Density functional theory data (PBE-GGA) for a relaxed Na2S crystal.

## Properties
For the spin magnetization, the calculation gives 0.000 μB per atom. As for the density of states at the Fermi level: 0.000 states/eV/f.u. For the energy relative to the elements, uncorrected, the calculation gives -3.21 eV/f.u.

The structure in POSCAR format:
```
Na2S
1.0
0.0000 3.2823 3.2823
3.2823 0.0000 3.2823
3.2823 3.2823 0.0000
Na S
2 1
Cartesian
1.6412 1.6412 1.6412 Na
4.9235 4.9235 4.9235 Na
0.0000 0.0000 0.0000 S
```


Density functional theory data (PBE-GGA) for a relaxed DyTmTl2Se4 crystal.

## Properties
For the spin magnetization, the calculation gives 0.000 μB per atom. For the energy relative to the elements, uncorrected, the calculation gives -11.05 eV/f.u.

The structure in POSCAR format:
```
DyTmTl2Se4
1.0
7.2067 0.0000 0.0000
0.0000 4.1605 0.0000
-2.3994 0.0000 7.7776
Dy Tm Tl Se
1 1 2 4
Cartesian
0.0000 0.0000 0.0000 Dy
3.6034 2.0803 0.0000 Tm
-1.1997 2.0803 3.8888 Tl
2.4037 0.0000 3.8888 Tl
1.2214 2.0803 1.5819 Se
0.0231 0.0000 6.2062 Se
4.7843 0.0000 1.5715 Se
3.5859 2.0803 6.1958 Se
```


Density functional theory data (PBE-GGA) for a relaxed SrTbCu2 crystal.

## Properties
The calculation puts the energy relative to the elements at -0.0179 eV per atom. The energy above the most stable polymorph in this dataset is 98 meV/atom. For the spin magnetization, the calculation gives 0.000 μB per atom. As for the density of states at the Fermi level: 3.195 states/eV/f.u.

The structure in POSCAR format:
```
SrTbCu2
1.0
0.0000 3.6057 3.6057
3.6057 0.0000 3.6057
3.6057 3.6057 0.0000
Sr Tb Cu
1 1 2
Cartesian
0.0000 0.0000 0.0000 Sr
3.6057 3.6057 3.6057 Tb
1.8028 1.8028 1.8028 Cu
5.4085 5.4085 5.4085 Cu
```


Density functional theory data (PBE-GGA) for a relaxed VCrNiIr crystal.

## Properties
The calculation puts the energy relative to the elements at -0.1191 eV per atom. The energy above the most stable polymorph in this dataset is 139 meV/atom. For the spin magnetization, the calculation gives 0.482 μB per atom. As for the density of states at the Fermi level: 3.885 states/eV/f.u.

The structure in POSCAR format:
```
VCrNiIr
1.0
0.0000 2.9507 2.9507
2.9507 0.0000 2.9507
2.9507 2.9507 0.0000
V Cr Ni Ir
1 1 1 1
Cartesian
0.0000 0.0000 0.0000 V
1.4754 1.4754 1.4754 Cr
2.9507 2.9507 2.9507 Ni
4.4261 4.4261 4.4261 Ir
```


Density functional theory data (PBE-GGA) for a relaxed AgHIO2 crystal.

## Properties
The energy above the most stable polymorph in this dataset is 30 meV/atom. For the spin magnetization, the calculation gives 0.000 μB per atom. As for the density of states at the Fermi level: 4.244 states/eV/f.u.

The structure in POSCAR format:
```
AgHIO2
1.0
4.3185 0.0000 0.0000
0.0000 4.3185 0.0000
0.0000 0.0000 3.4716
Ag H I O
1 1 1 2
Cartesian
0.0000 0.0000 0.0000 Ag
2.1593 2.1593 1.7358 H
2.1593 2.1593 0.0000 I
0.0000 2.1593 1.7358 O
2.1593 0.0000 1.7358 O
```


Density functional theory data (PBE-GGA) for a relaxed PrTlPb4 crystal.

## Properties
The calculation puts the energy relative to the elements at -0.1105 eV per atom. For the spin magnetization, the calculation gives 0.000 μB per atom. As for the density of states at the Fermi level: 2.431 states/eV/f.u.

The structure in POSCAR format:
```
PrTlPb4
1.0
0.0000 4.5996 4.5996
4.5996 0.0000 4.5996
4.5996 4.5996 0.0000
Pr Tl Pb
1 1 4
Cartesian
0.0000 0.0000 0.0000 Pr
2.2998 2.2998 2.2998 Tl
5.7553 3.4440 3.4440 Pb
3.4440 5.7553 3.4440 Pb
3.4440 3.4440 5.7553 Pb
5.7553 5.7553 5.7553 Pb
```


Density functional theory data (PBE-GGA) for a relaxed CaNiAgP crystal.

## Properties
The calculation puts the energy relative to the elements at -0.5918 eV per atom. For the spin magnetization, the calculation gives 0.000 μB per atom. As for the density of states at the Fermi level: 1.564 states/eV/f.u.

The structure in POSCAR format:
```
CaNiAgP
1.0
3.8589 0.0000 0.0000
0.0000 3.8589 0.0000
0.0000 0.0000 10.2813
Ca Ni Ag P
2 2 2 2
Cartesian
0.9647 0.9647 2.4504 Ca
2.8942 2.8942 7.8309 Ca
0.9647 2.8942 0.0000 Ni
2.8942 0.9647 0.0000 Ni
0.9647 2.8942 5.1407 Ag
2.8942 0.9647 5.1407 Ag
0.9647 0.9647 9.0783 P
2.8942 2.8942 1.2030 P
```


Density functional theory data (PBE-GGA) for a relaxed AcDyMg2Hg4 crystal.

## Properties
The calculation puts the energy relative to the elements at -0.4376 eV per atom. For the spin magnetization, the calculation gives 0.000 μB per atom. As for the density of states at the Fermi level: 3.195 states/eV/f.u.

The structure in POSCAR format:
```
AcDyMg2Hg4
1.0
2.5769 1.4878 8.8567
-2.5769 1.4878 8.8567
0.0000 -2.9756 8.8567
Ac Dy Mg Hg
1 1 2 4
Cartesian
0.0000 0.0000 0.0000 Ac
0.0000 0.0000 13.2851 Dy
0.0000 0.0000 6.4990 Mg
0.0000 0.0000 20.0712 Mg
0.0000 0.0000 3.4031 Hg
0.0000 0.0000 10.2346 Hg
0.0000 0.0000 16.3356 Hg
0.0000 0.0000 23.1672 Hg
```


Density functional theory data (PBE-GGA) for a relaxed Cs2PmGaBr6 crystal.

## Properties
For the spin magnetization, the calculation gives 0.000 μB per atom. As for the density of states at the Fermi level: 0.000 states/eV/f.u. For the energy relative to the elements, uncorrected, the calculation gives -16.12 eV/f.u.

The structure in POSCAR format:
```
Cs2PmGaBr6
1.0
0.0000 5.9214 5.9214
5.9214 0.0000 5.9214
5.9214 5.9214 0.0000
Cs Pm Ga Br
2 1 1 6
Cartesian
2.9607 2.9607 2.9607 Cs
8.8821 8.8821 8.8821 Cs
0.0000 0.0000 0.0000 Pm
5.9214 5.9214 5.9214 Ga
5.9214 5.9214 2.8703 Br
5.9214 2.8703 5.9214 Br
8.9724 5.9214 5.9214 Br
2.8703 5.9214 5.9214 Br
5.9214 8.9724 5.9214 Br
5.9214 5.9214 8.9724 Br
```


Density functional theory data (PBE-GGA) for a relaxed SrTlHN2 crystal.

## Properties
As for the electronic total energy: -3.56 eV per atom. For the spin magnetization, the calculation gives 0.409 μB per atom. As for the density of states at the Fermi level: 1.816 states/eV/f.u.

The structure in POSCAR format:
```
SrTlHN2
1.0
4.3960 0.0000 0.0000
0.0000 4.3960 0.0000
0.0000 0.0000 3.9417
Sr Tl H N
1 1 1 2
Cartesian
0.0000 0.0000 0.0000 Sr
2.1980 2.1980 0.0000 Tl
0.0000 0.0000 1.9709 H
0.0000 2.1980 1.9709 N
2.1980 0.0000 1.9709 N
```


Density functional theory data (PBE-GGA) for a relaxed Nd6MgNi2 crystal.

## Properties
The calculation puts the energy relative to the elements at -0.1550 eV per atom. For the spin magnetization, the calculation gives 0.000 μB per atom. As for the density of states at the Fermi level: 10.141 states/eV/f.u.

The structure in POSCAR format:
```
Nd6MgNi2
1.0
-4.7815 5.0637 5.2513
4.7815 -5.0637 5.2513
4.7815 5.0637 -5.2513
Nd Mg Ni
12 2 4
Cartesian
4.7815 3.0257 -2.8204 Nd
2.8014 1.8400 0.0000 Nd
6.7617 1.8400 0.0000 Nd
1.8126 5.0637 -1.8775 Nd
2.9689 0.0000 3.3737 Nd
0.0000 2.0380 2.4309 Nd
4.7815 3.0257 2.8204 Nd
1.8126 5.0637 1.8775 Nd
2.9689 0.0000 7.1288 Nd
-1.9802 3.2237 5.2513 Nd
1.9802 3.2237 5.2513 Nd
0.0000 2.0380 8.0717 Nd
0.0000 0.0000 0.0000 Mg
0.0000 0.0000 5.2513 Mg
4.7815 0.0000 1.2553 Ni
0.0000 3.4936 0.0000 Ni
0.0000 6.6339 0.0000 Ni
0.0000 5.0637 3.9960 Ni
```


Density functional theory data (PBE-GGA) for a relaxed Ca3AsP crystal.

## Properties
The calculation puts the energy relative to the elements at -0.8612 eV per atom. The energy above the most stable polymorph in this dataset is 256 meV/atom. For the spin magnetization, the calculation gives 0.000 μB per atom. As for the density of states at the Fermi level: 0.000 states/eV/f.u.

The structure in POSCAR format:
```
Ca3AsP
1.0
5.3317 0.0000 0.0000
0.0000 5.3317 0.0000
0.0000 0.0000 5.3317
Ca As P
3 1 1
Cartesian
0.0000 0.0000 2.6659 Ca
0.0000 2.6659 0.0000 Ca
2.6659 0.0000 0.0000 Ca
2.6659 2.6659 2.6659 As
0.0000 0.0000 0.0000 P
```


Copy entry 2 word for word.
Density functional theory data (PBE-GGA) for a relaxed DyTmTl2Se4 crystal.

## Properties
For the spin magnetization, the calculation gives 0.000 μB per atom. For the energy relative to the elements, uncorrected, the calculation gives -11.05 eV/f.u.

The structure in POSCAR format:
```
DyTmTl2Se4
1.0
7.2067 0.0000 0.0000
0.0000 4.1605 0.0000
-2.3994 0.0000 7.7776
Dy Tm Tl Se
1 1 2 4
Cartesian
0.0000 0.0000 0.0000 Dy
3.6034 2.0803 0.0000 Tm
-1.1997 2.0803 3.8888 Tl
2.4037 0.0000 3.8888 Tl
1.2214 2.0803 1.5819 Se
0.0231 0.0000 6.2062 Se
4.7843 0.0000 1.5715 Se
3.5859 2.0803 6.1958 Se
```